Here is a relaxed TcSe crystal from Alexandria. Energies are from PBE-GGA.

## Properties
The calculation puts the magnetization at 0.000 μB/f.u. The space group is I4_1/amd. The value obtained for the total energy is -25.49 eV/cell. For the excess energy over the best structure of this formula in the dataset, the calculation gives 0.759 eV per atom. The uncorrected formation energy is 0.5527 eV/atom.

Cell and atoms, written as CIF:
```
data_TcSe
_symmetry_space_group_name_H-M 'P 1'
_symmetry_Int_Tables_number 1
_symmetry_space_group_name_Hall 'P 1'
_cell_length_a 4.8817
_cell_length_b 4.8817
_cell_length_c 4.8817
_cell_angle_alpha 131.53
_cell_angle_beta 131.53
_cell_angle_gamma 70.97
loop_
_atom_site_label
_atom_site_type_symbol
_atom_site_fract_x
_atom_site_fract_y
_atom_site_fract_z
Tc1 Tc 0.7500 0.2500 0.5000
Tc2 Tc 0.5000 0.5000 0.0000
Se1 Se 0.0000 0.0000 0.0000
Se2 Se 0.2500 0.7500 0.5000
```